# 1
Density functional theory data (PBE) for a geometry-optimized K2RbGeMo structure.

CIF file:
```
data_K2RbGeMo
_cell_length_a 6.641
_cell_length_b 6.641
_cell_length_c 5.866
_cell_angle_alpha 90.00
_cell_angle_beta 90.00
_cell_angle_gamma 90.00
_space_group_name_H-M_alt 'P 4/m m m'
_space_group_IT_number 123
_space_group_name_Hall '-P 4 2'
loop_
_atom_site_label
_atom_site_fract_x
_atom_site_fract_y
_atom_site_fract_z
_atom_site_occupancy
K1 0.000 0.500 0.000 1
Rb1 0.000 0.000 0.000 1
Ge1 0.000 0.000 0.500 1
Mo1 0.500 0.500 0.500 1
```

Properties
calculated formation energy = 7.93 eV per formula unit

# 2
Density functional theory data (PBE) for a geometry-optimized K2SnGeMo structure.

CIF file:
```
data_K2SnGeMo
_cell_length_a 6.802
_cell_length_b 6.802
_cell_length_c 5.187
_cell_angle_alpha 90.00
_cell_angle_beta 90.00
_cell_angle_gamma 90.00
_space_group_name_H-M_alt 'P 4/m m m'
_space_group_IT_number 123
_space_group_name_Hall '-P 4 2'
loop_
_atom_site_label
_atom_site_fract_x
_atom_site_fract_y
_atom_site_fract_z
_atom_site_occupancy
K1 0.000 0.500 0.000 1
Sn1 0.000 0.000 0.000 1
Ge1 0.000 0.000 0.500 1
Mo1 0.500 0.500 0.500 1
```

Properties
calculated formation energy = 5.95 eV per formula unit

# 3
Density functional theory data (PBE) for a geometry-optimized K2SnGeMo structure.

CIF file:
```
data_K2SnGeMo
_cell_length_a 6.512
_cell_length_b 6.512
_cell_length_c 4.915
_cell_angle_alpha 90.00
_cell_angle_beta 90.00
_cell_angle_gamma 90.00
_space_group_name_H-M_alt 'P 4/m m m'
_space_group_IT_number 123
_space_group_name_Hall '-P 4 2'
loop_
_atom_site_label
_atom_site_fract_x
_atom_site_fract_y
_atom_site_fract_z
_atom_site_occupancy
K1 0.000 0.500 0.000 1
Sn1 0.000 0.000 0.500 1
Ge1 0.500 0.500 0.500 1
Mo1 0.500 0.500 0.000 1
```

Properties
calculated formation energy = 4.86 eV per formula unit

# 4
Density functional theory data (PBE) for a geometry-optimized KGeTeMo2 structure.

CIF file:
```
data_KGeTeMo2
_cell_length_a 4.937
_cell_length_b 4.937
_cell_length_c 5.723
_cell_angle_alpha 90.00
_cell_angle_beta 90.00
_cell_angle_gamma 90.00
_space_group_name_H-M_alt 'P 4/m m m'
_space_group_IT_number 123
_space_group_name_Hall '-P 4 2'
loop_
_atom_site_label
_atom_site_fract_x
_atom_site_fract_y
_atom_site_fract_z
_atom_site_occupancy
K1 0.000 0.000 0.000 1
Ge1 0.000 0.000 0.500 1
Te1 0.500 0.500 0.000 1
Mo1 0.000 0.500 0.500 1
```

Properties
formation energy without anion corrections = 1.09 eV per atom

# 5
Density functional theory data (PBE) for a geometry-optimized KGe2N2 structure.

CIF file:
```
data_KGe2N2
_cell_length_a 4.819
_cell_length_b 15.374
_cell_length_c 5.182
_cell_angle_alpha 90.00
_cell_angle_beta 97.82
_cell_angle_gamma 90.00
_space_group_name_H-M_alt 'C 1 2/c 1'
_space_group_IT_number 15
_space_group_name_Hall '-C 2yc'
loop_
_atom_site_label
_atom_site_fract_x
_atom_site_fract_y
_atom_site_fract_z
_atom_site_occupancy
K1 0.000 0.246 0.250 1
Ge1 0.210 0.067 0.961 1
N1 0.000 0.028 0.250 1
N2 0.000 0.153 0.750 1
```

Properties
formation energy without anion corrections = 0.13 eV per atom

# 6
Density functional theory data (PBE) for a geometry-optimized KGeN3 structure.

CIF file:
```
data_KGeN3
_cell_length_a 4.005
_cell_length_b 4.005
_cell_length_c 4.005
_cell_angle_alpha 90.00
_cell_angle_beta 90.00
_cell_angle_gamma 90.00
_space_group_name_H-M_alt 'P m -3 m'
_space_group_IT_number 221
_space_group_name_Hall '-P 4 2 3'
loop_
_atom_site_label
_atom_site_fract_x
_atom_site_fract_y
_atom_site_fract_z
_atom_site_occupancy
K1 0.000 0.000 0.000 1
Ge1 0.500 0.500 0.500 1
N1 0.000 0.500 0.500 1
```

Properties
formation energy without anion corrections = 1.25 eV per atom

# 7
Density functional theory data (PBE) for a geometry-optimized KGe2N structure.

CIF file:
```
data_KGe2N
_cell_length_a 6.333
_cell_length_b 6.333
_cell_length_c 9.787
_cell_angle_alpha 90.00
_cell_angle_beta 90.00
_cell_angle_gamma 90.00
_space_group_name_H-M_alt 'I -4 2 d'
_space_group_IT_number 122
_space_group_name_Hall 'I -4 2bw'
loop_
_atom_site_label
_atom_site_fract_x
_atom_site_fract_y
_atom_site_fract_z
_atom_site_occupancy
K1 0.000 0.000 0.000 1
Ge1 0.104 0.250 0.625 1
N1 0.000 0.000 0.500 1
```

Properties
formation energy without anion corrections = 0.55 eV per atom

# 8
Density functional theory data (PBE) for a geometry-optimized KGeN2 structure.

CIF file:
```
data_KGeN2
_cell_length_a 5.688
_cell_length_b 5.688
_cell_length_c 8.163
_cell_angle_alpha 90.00
_cell_angle_beta 90.00
_cell_angle_gamma 90.00
_space_group_name_H-M_alt 'I -4 2 d'
_space_group_IT_number 122
_space_group_name_Hall 'I -4 2bw'
loop_
_atom_site_label
_atom_site_fract_x
_atom_site_fract_y
_atom_site_fract_z
_atom_site_occupancy
K1 0.000 0.000 0.000 1
Ge1 0.000 0.000 0.500 1
N1 0.109 0.250 0.625 1
```

Properties
formation energy without anion corrections = 0.23 eV per atom

# 9
Density functional theory data (PBE) for a geometry-optimized KGeN3 structure.

CIF file:
```
data_KGeN3
_cell_length_a 4.864
_cell_length_b 4.864
_cell_length_c 4.864
_cell_angle_alpha 90.00
_cell_angle_beta 90.00
_cell_angle_gamma 90.00
_space_group_name_H-M_alt 'P m -3 m'
_space_group_IT_number 221
_space_group_name_Hall '-P 4 2 3'
loop_
_atom_site_label
_atom_site_fract_x
_atom_site_fract_y
_atom_site_fract_z
_atom_site_occupancy
K1 0.000 0.000 0.000 1
Ge1 0.500 0.500 0.500 1
N1 0.000 0.000 0.500 1
```

Properties
formation energy without anion corrections = 2.91 eV per atom

# 10
Density functional theory data (PBE) for a geometry-optimized KGeN2 structure.

CIF file:
```
data_KGeN2
_cell_length_a 4.0967
_cell_length_b 4.0967
_cell_length_c 20.0461
_cell_angle_alpha 90.00
_cell_angle_beta 90.00
_cell_angle_gamma 120.00
_space_group_name_H-M_alt 'R -3 m'
_space_group_IT_number 166
_space_group_name_Hall '-R 3 2"'
loop_
_atom_site_label
_atom_site_fract_x
_atom_site_fract_y
_atom_site_fract_z
_atom_site_occupancy
K1 0.0000 0.0000 0.0000 1
Ge1 0.0000 0.0000 0.5000 1
N1 0.0000 0.0000 0.4152 1
```

Properties
formation energy without anion corrections = 0.83 eV per atom

# 11
Density functional theory data (PBE) for a geometry-optimized KGeN2 structure.

CIF file:
```
data_KGeN2
_cell_length_a 3.1331
_cell_length_b 3.1331
_cell_length_c 20.9200
_cell_angle_alpha 90.00
_cell_angle_beta 90.00
_cell_angle_gamma 120.00
_space_group_name_H-M_alt 'R -3 m'
_space_group_IT_number 166
_space_group_name_Hall '-R 3 2"'
loop_
_atom_site_label
_atom_site_fract_x
_atom_site_fract_y
_atom_site_fract_z
_atom_site_occupancy
K1 0.0000 0.0000 0.0000 1
Ge1 0.0000 0.0000 0.5000 1
N1 0.0000 0.0000 0.1192 1
```

Properties
formation energy without anion corrections = 0.69 eV per atom

# 12
Density functional theory data (PBE) for a geometry-optimized KGe3N structure.

CIF file:
```
data_KGe3N
_cell_length_a 5.528
_cell_length_b 5.528
_cell_length_c 5.528
_cell_angle_alpha 90.00
_cell_angle_beta 90.00
_cell_angle_gamma 90.00
_space_group_name_H-M_alt 'P m -3 m'
_space_group_IT_number 221
_space_group_name_Hall '-P 4 2 3'
loop_
_atom_site_label
_atom_site_fract_x
_atom_site_fract_y
_atom_site_fract_z
_atom_site_occupancy
K1 0.000 0.000 0.000 1
Ge1 0.000 0.000 0.500 1
N1 0.500 0.500 0.500 1
```

Properties
formation energy without anion corrections = 2.75 eV per atom

Magnetization across the listed records, respectively: 5.1, 5.2, 4.7, 6.1, 0.0, 4.0, 0.0, 1.0, 6.0, 1.0, 1.0, 0.0 μB/f.u..